First-principles (GGA-PBE) data for an optimized crystal structure of Rb2MgU2S6, as listed in Alexandria via LeMat-Bulk.

Cell: 6.8678 6.8678 8.1765 Å, 97.78 97.78 120.14°
Last column: nearest neighbours and their distance in Å.
Element x y z (fractional)
S (0.0582, 0.3943, 0.6839)  2 U 2.70, 1 Mg 2.72
U (0.3342, 0.6658, 0.5000)  6 S 2.70-2.71
Rb (0.1641, 0.8359, 0.0000)  6 S 3.36-3.40
S (0.6057, 0.9418, 0.3161)  2 U 2.70, 1 Mg 2.72
U (0.6658, 0.3342, 0.5000)  6 S 2.70-2.71
Mg (0.0000, 0.0000, 0.5000)  6 S 2.66-2.72
S (0.7311, 0.7311, 0.6818)  1 Mg 2.66, 2 U 2.71
Rb (0.8359, 0.1641, 0.0000)  6 S 3.36-3.40
S (0.3943, 0.0582, 0.6839)  2 U 2.70, 1 Mg 2.72
S (0.2689, 0.2689, 0.3182)  1 Mg 2.66, 2 U 2.71
S (0.9418, 0.6057, 0.3161)  2 U 2.70, 1 Mg 2.72

## Properties
- M_tot: 4.0 μB/f.u.
- DFT total energy: -0.22144 hartree per atom